[1]
K2RbIrBr6 | GGA-PBE | relaxed

Computed properties:
* volume: 38.99 Å³ per atom
* E_tot: -3.306 eV per atom
* uncorrected formation energy: -1.100 eV/atom

Cell: 7.442 11.369 9.217 Å, 90.00 90.00 90.00°
Fractional coordinates of all 20 atoms:
K: 0.250 0.055 0.164
K: 0.250 0.445 0.164
K: 0.750 0.555 0.836
K: 0.750 0.945 0.836
Rb: 0.250 0.250 0.673
Rb: 0.750 0.750 0.327
Ir: 0.250 0.750 0.818
Ir: 0.750 0.250 0.182
Br: 0.008 0.750 0.628
Br: 0.016 0.750 0.017
Br: 0.250 0.528 0.818
Br: 0.250 0.972 0.818
Br: 0.484 0.750 0.017
Br: 0.492 0.750 0.628
Br: 0.508 0.250 0.372
Br: 0.516 0.250 0.983
Br: 0.750 0.028 0.182
Br: 0.750 0.472 0.182
Br: 0.984 0.250 0.983
Br: 0.992 0.250 0.372

[2]
KRbIrBr6 | GGA-PBE | relaxed

Computed properties:
* volume: 40.00 Å³ per atom
* E_tot: -3.183 eV per atom
* uncorrected formation energy: -0.854 eV/atom

Cell: 7.858 7.858 6.735 Å, 90.02 90.02 120.05°
Fractional coordinates of all 9 atoms:
K: 0.000 0.000 0.000
Rb: 0.334 0.666 0.500
Ir: 0.667 0.333 0.000
Br: 0.406 0.075 0.784
Br: 0.407 0.330 0.217
Br: 0.670 0.076 0.217
Br: 0.670 0.593 0.783
Br: 0.924 0.330 0.783
Br: 0.925 0.594 0.216